Crystalline BaZr3Ge at its relaxed geometry, computed with PBE.

Computed properties:
crystal system = cubic
volume = 146 Å³/cell
total magnetic moment = 0.00 μB/f.u.
energy above the most stable polymorph in this dataset = 7.35 eV per formula unit

Unit cell a=5.267 b=5.267 c=5.267 alpha=90.00 beta=90.00 gamma=90.00
Atoms (fractional coordinates):
Ba  0.000  0.000  0.000
Zr  0.000  0.000  0.500
Zr  0.000  0.500  0.000
Zr  0.500  0.000  0.000
Ge  0.500  0.500  0.500